(1)
A geometry-optimized TbNd2Y6Ho structure, computed with PBE.

a b c (Å): 9.0900 15.0622 9.7956
angles (deg): 90.00 99.76 90.00
Space group C2/c (No. 15)
Inequivalent atoms, fractional coordinates:
1 Tb 0.0000 0.0181 0.2500 [4 per cell]
2 Nd 0.2435 0.0500 0.5441 [8 per cell]
3 Y 0.0660 0.1889 0.9431 [8 per cell]
4 Y 0.1007 0.3955 0.1181 [8 per cell]
5 Y 0.2027 0.2219 0.3137 [8 per cell]
6 Ho 0.0000 0.4064 0.7500 [4 per cell]

N(E_F)	58.0	states/eV/cell
total DFT energy (no corrections)	-5.64	eV/atom
formation energy	10.8	kJ per mole of atoms

=====

(2)
A geometry-optimized Li3Pr2O4 structure, computed with PBE.

a b c (Å): 6.8448 12.1248 7.0724
angles (deg): 90.00 90.00 90.00
Space group Cmce (No. 64)
Inequivalent atoms, fractional coordinates:
1 Li 0.0000 0.0000 0.0000 [4 per cell]
2 Li 0.2500 0.0985 0.2500 [8 per cell]
3 Pr 0.0000 0.1646 0.6311 [8 per cell]
4 O 0.0000 0.1733 0.2976 [8 per cell]
5 O 0.2500 0.0586 0.7500 [8 per cell]

N(E_F)	6.8	states/eV/cell
total DFT energy (no corrections)	-6.12	eV/atom
formation energy without anion corrections	-2.21	eV per atom

=====

(3)
A geometry-optimized RbLi2Mn structure, computed with PBE.

a b c (Å): 5.6194 5.6194 19.6006
angles (deg): 90.00 90.00 90.00
Space group I-42d (No. 122)
Inequivalent atoms, fractional coordinates:
1 Rb 0.0000 0.0000 0.0000 [4 per cell]
2 Li 0.0024 0.7500 0.6250 [8 per cell]
3 Mn 0.0000 0.0000 0.5000 [4 per cell]

N(E_F)	16.3	states/eV/cell
total DFT energy (no corrections)	-2.77	eV/atom
formation energy	69.7	kJ per mole of atoms

=====

(4)
A geometry-optimized Ni3TeCl structure, computed with PBE.

a b c (Å): 4.3247 4.3247 4.3247
angles (deg): 90.00 90.00 90.00
Space group Pm-3m (No. 221)
Inequivalent atoms, fractional coordinates:
1 Ni 0.0000 0.0000 0.5000 [3 per cell]
2 Te 0.5000 0.5000 0.5000 [1 per cell]
3 Cl 0.0000 0.0000 0.0000 [1 per cell]

N(E_F)	5.9	states/eV/cell
total DFT energy (no corrections)	-3.95	eV/atom
formation energy without anion corrections	0.51	eV per atom